Below is crystalline CrMo3W3 at its relaxed geometry, with properties calculated at the PBE-GGA level.

Values from the calculation:
For the energy of formation from the pure elements, the calculation gives 9.1 kcal/mol of atoms. Its space group is P6_3/m.

Lattice parameters (Å, degrees): 7.521 7.521 4.506 90.00 90.00 120.00
Element x y z (fractional)
1 Cr 0.333 0.667 0.250
2 Cr 0.667 0.333 0.750
3 Mo 0.104 0.582 0.750
4 Mo 0.418 0.521 0.750
5 Mo 0.479 0.896 0.750
6 Mo 0.521 0.104 0.250
7 Mo 0.582 0.479 0.250
8 Mo 0.896 0.418 0.250
9 W 0.119 0.866 0.250
10 W 0.134 0.253 0.250
11 W 0.253 0.119 0.750
12 W 0.747 0.881 0.250
13 W 0.866 0.747 0.750
14 W 0.881 0.134 0.750

Below is crystalline Th4SiBi3 at its relaxed geometry, with properties calculated at the PBE-GGA level.

Values from the calculation:
Its space group is P2/c. The uncorrected formation energy comes out at -5.02 eV per formula unit.

Lattice parameters (Å, degrees): 7.907 9.033 7.752 90.00 109.22 90.00
Element x y z (fractional)
1 Th 0.219 0.111 0.001
2 Th 0.219 0.889 0.501
3 Th 0.235 0.352 0.481
4 Th 0.235 0.648 0.981
5 Th 0.765 0.352 0.019
6 Th 0.765 0.648 0.519
7 Th 0.781 0.111 0.499
8 Th 0.781 0.889 0.999
9 Si 0.000 0.122 0.250
10 Si 0.000 0.878 0.750
11 Bi 0.000 0.380 0.750
12 Bi 0.000 0.620 0.250
13 Bi 0.500 0.122 0.750
14 Bi 0.500 0.380 0.250
15 Bi 0.500 0.620 0.750
16 Bi 0.500 0.878 0.250

Below is crystalline FeAgOs2 at its relaxed geometry, with properties calculated at the PBE-GGA level.

Values from the calculation:
For the energy of formation from the pure elements, the calculation gives 14.0 kcal/mol of atoms. Its space group is I-4m2. The excess energy over the best structure of this formula in the dataset is 257 meV/atom.

Lattice parameters (Å, degrees): 4.704 4.704 4.704 131.25 131.25 71.41
Element x y z (fractional)
1 Fe 0.000 0.000 0.000
2 Ag 0.750 0.250 0.500
3 Os 0.250 0.750 0.500
4 Os 0.500 0.500 0.000

Below is crystalline Ho2Cd2Pt3 at its relaxed geometry, with properties calculated at the PBE-GGA level.

Values from the calculation:
For the energy of formation from the pure elements, the calculation gives -20.1 kcal/mol of atoms. Its space group is P-1.

Lattice parameters (Å, degrees): 4.824 4.825 7.892 72.25 72.38 60.17
Element x y z (fractional)
1 Ho 0.115 0.115 0.155
2 Ho 0.885 0.885 0.845
3 Cd 0.371 0.369 0.391
4 Cd 0.629 0.631 0.609
5 Pt 0.245 0.244 0.766
6 Pt 0.500 0.500 0.000
7 Pt 0.755 0.756 0.234

Below is crystalline Mg2SiAg at its relaxed geometry, with properties calculated at the PBE-GGA level.

Values from the calculation:
Its space group is Cmmm. The uncorrected formation energy comes out at -0.27 eV per formula unit.

Lattice parameters (Å, degrees): 4.730 4.730 3.253 90.00 90.00 91.80
Element x y z (fractional)
1 Mg 0.000 0.500 0.000
2 Mg 0.500 0.000 0.000
3 Si 0.000 0.000 0.500
4 Ag 0.500 0.500 0.500

Below is crystalline Zr4Cd3Hg2 at its relaxed geometry, with properties calculated at the PBE-GGA level.

Values from the calculation:
For the energy of formation from the pure elements, the calculation gives -1.1 kcal/mol of atoms. Its space group is P-3m1.

Lattice parameters (Å, degrees): 4.920 4.920 9.421 90.00 90.00 120.00
Element x y z (fractional)
1 Zr 0.000 0.000 0.173
2 Zr 0.000 0.000 0.827
3 Zr 0.333 0.667 0.616
4 Zr 0.667 0.333 0.384
5 Cd 0.000 0.000 0.500
6 Cd 0.333 0.667 0.962
7 Cd 0.667 0.333 0.038
8 Hg 0.333 0.667 0.291
9 Hg 0.667 0.333 0.709

Below is crystalline Nd2BiPdO5 at its relaxed geometry, with properties calculated at the PBE-GGA level.

Values from the calculation:
Its space group is P4/mbm. The uncorrected formation energy comes out at -17.31 eV per formula unit.

Lattice parameters (Å, degrees): 6.839 6.839 5.819 90.00 90.00 90.00
Element x y z (fractional)
1 Nd 0.172 0.328 0.000
2 Nd 0.328 0.828 0.000
3 Nd 0.672 0.172 0.000
4 Nd 0.828 0.672 0.000
5 Bi 0.000 0.000 0.500
6 Bi 0.500 0.500 0.500
7 Pd 0.000 0.500 0.500
8 Pd 0.500 0.000 0.500
9 O 0.000 0.000 0.000
10 O 0.141 0.641 0.246
11 O 0.141 0.641 0.754
12 O 0.359 0.141 0.246
13 O 0.359 0.141 0.754
14 O 0.500 0.500 0.000
15 O 0.641 0.859 0.246
16 O 0.641 0.859 0.754
17 O 0.859 0.359 0.246
18 O 0.859 0.359 0.754

Below is crystalline La2InS4 at its relaxed geometry, with properties calculated at the PBE-GGA level.

Values from the calculation:
Its space group is C2/m. The excess energy over the best structure of this formula in the dataset is 0 meV/atom. The uncorrected formation energy comes out at -10.88 eV per formula unit.

Lattice parameters (Å, degrees): 7.456 7.456 7.429 117.64 117.64 32.99
Element x y z (fractional)
1 La 0.215 0.215 0.209
2 La 0.785 0.785 0.791
3 In 0.500 0.500 0.500
4 S 0.142 0.142 0.509
5 S 0.378 0.378 0.077
6 S 0.622 0.622 0.923
7 S 0.858 0.858 0.491

Below is crystalline YMo4Se at its relaxed geometry, with properties calculated at the PBE-GGA level.

Values from the calculation:
Its space group is F-43m. The uncorrected formation energy comes out at 2.16 eV per formula unit.

Lattice parameters (Å, degrees): 5.416 5.416 5.416 60.00 60.00 60.00
Element x y z (fractional)
1 Y 0.000 0.000 0.000
2 Mo 0.128 0.624 0.624
3 Mo 0.624 0.128 0.624
4 Mo 0.624 0.624 0.128
5 Mo 0.624 0.624 0.624
6 Se 0.250 0.250 0.250

Below is crystalline La2TaBe at its relaxed geometry, with properties calculated at the PBE-GGA level.

Values from the calculation:
For the energy of formation from the pure elements, the calculation gives 12.1 kcal/mol of atoms. Its space group is Pmmm.

Lattice parameters (Å, degrees): 3.311 3.866 7.603 90.00 90.00 90.00
Element x y z (fractional)
1 La 0.000 0.000 0.232
2 La 0.000 0.000 0.768
3 Ta 0.500 0.500 0.500
4 Be 0.500 0.500 0.000

Below is crystalline Pr2ZnPt5 at its relaxed geometry, with properties calculated at the PBE-GGA level.

Values from the calculation:
For the energy of formation from the pure elements, the calculation gives -18.5 kcal/mol of atoms. Its space group is I4mm.

Lattice parameters (Å, degrees): 6.057 6.057 6.057 117.99 117.99 93.52
Element x y z (fractional)
1 Pr 0.000 0.500 0.500
2 Pr 0.500 0.000 0.500
3 Zn 0.315 0.315 0.000
4 Pt 0.521 0.521 0.552
5 Pt 0.521 0.969 0.000
6 Pt 0.969 0.521 0.000
7 Pt 0.969 0.969 0.448
8 Pt 0.995 0.995 0.000

Below is crystalline YCuOs2 at its relaxed geometry, with properties calculated at the PBE-GGA level.

Values from the calculation:
For the energy of formation from the pure elements, the calculation gives 9.5 kcal/mol of atoms. Its space group is I4/mmm. The excess energy over the best structure of this formula in the dataset is 238 meV/atom.

Lattice parameters (Å, degrees): 5.232 5.232 5.232 136.35 136.35 63.44
Element x y z (fractional)
1 Y 0.000 0.000 0.000
2 Cu 0.500 0.500 0.000
3 Os 0.250 0.750 0.500
4 Os 0.750 0.250 0.500